(1)
{"formula": "KBaOs", "functional": "GGA-PBE", "state": "optimized geometry", "sg": "Imm2 (44)", "total_energy_ry_per_atom": -0.267, "e_form_ev_per_atom": 1.1230, "e_above_lowest_polymorph_mev_per_atom": 0, "dos_at_fermi_per_ev_atom": 0.59, "lattice": [[-1.518, 2.187, 8.022], [1.518, -2.187, 8.022], [1.518, 2.187, -8.022]], "species": ["K", "Ba", "Os"], "fractional_positions": [[0.000, 0.000, 0.000], [0.241, 0.241, 0.000], [0.633, 0.633, 0.000]]}


(2)
{"formula": "CsDy2CuTe4", "functional": "GGA-PBE", "state": "optimized geometry", "sg": "Cmcm (63)", "total_energy_ry_per_atom": -0.329, "formation_energy_uncorrected_ev_per_atom": -1.1329, "lattice": [[2.216, -7.822, 0.000], [2.216, 7.822, 0.000], [0.000, 0.000, 15.565]], "species": ["Cs", "Cs", "Dy", "Dy", "Dy", "Dy", "Cu", "Cu", "Te", "Te", "Te", "Te", "Te", "Te", "Te", "Te"], "fractional_positions": [[0.110, 0.890, 0.750], [0.890, 0.110, 0.250], [0.367, 0.633, 0.563], [0.367, 0.633, 0.937], [0.633, 0.367, 0.063], [0.633, 0.367, 0.437], [0.166, 0.834, 0.250], [0.834, 0.166, 0.750], [0.000, 0.000, 0.000], [0.000, 0.000, 0.500], [0.260, 0.740, 0.107], [0.260, 0.740, 0.393], [0.425, 0.575, 0.750], [0.575, 0.425, 0.250], [0.740, 0.260, 0.607], [0.740, 0.260, 0.893]]}